Record 1
GGA-PBE Li2Th3Sb3, relaxed; M_tot = 0.00 μB per formula unit; SG = Cmcm (63); formation energy without anion corrections = -701 meV per atom; raw total energy = -88.13 eV for the cell shown
1.0
-3.2332 -1.2447 -2.6969
-1.3194 -1.7001 5.9400
-7.2549 13.7870 2.3346
Li Th Sb
4 6 6
Direct
0.7777 0.5553 0.8995
0.7777 0.5553 0.6005
0.2223 0.4447 0.1005
0.2223 0.4447 0.3995
0.9311 0.8623 0.3909
0.0689 0.1377 0.8909
0.6324 0.2649 0.2500
0.9311 0.8623 0.1091
0.3676 0.7351 0.7500
0.0689 0.1377 0.6091
0.6264 0.2527 0.4544
0.3736 0.7473 0.9544
0.3488 0.6976 0.2500
0.3736 0.7473 0.5456
0.6264 0.2527 0.0456
0.6512 0.3024 0.7500

=====

Record 2
GGA-PBE YTh3Zn4, relaxed; M_tot = 0.00 μB per formula unit; SG = R-3m (166); formation energy = -1.69 eV/f.u.; raw total energy = -35.51 eV for the cell shown
1.0
4.9444 0.0000 1.4595
2.2568 4.3994 1.4595
0.0468 0.0286 8.9464
Zn Th Y
4 3 1
Direct
0.3726 0.3726 0.8821
0.6274 0.6274 0.1179
0.1226 0.1226 0.6323
0.8774 0.8774 0.3677
0.5000 0.5000 0.5000
0.7512 0.7512 0.7464
0.2488 0.2488 0.2536
0.0000 0.0000 0.0000

=====

Record 3
GGA-PBE ZnSb2Rh, relaxed; M_tot = 0.00 μB per formula unit; SG = Pm (6); formation energy without anion corrections = -135 meV per atom; raw total energy = -17.41 eV for the cell shown
1.0
-3.0628 -0.5920 -2.6757
0.6217 -3.8623 0.1428
-2.9094 -2.2965 3.8383
Sb Zn Rh
2 1 1
Direct
0.0000 0.9809 0.9119
0.5000 0.2640 0.3472
0.0000 0.7082 0.4595
0.5000 0.5470 0.7815

=====

Record 4
GGA-PBE Ca2LaPb2, relaxed; M_tot = 0.04 μB per formula unit; SG = P4/mbm (127); formation energy = -2.12 eV/f.u.; raw total energy = -36.93 eV for the cell shown
1.0
-8.9326 -1.3004 -2.6082
2.6201 0.0993 -9.0227
0.4836 -3.5262 0.1016
Pb Ca La
4 4 2
Direct
0.3229 0.1771 0.5000
0.1771 0.6771 0.5000
0.8229 0.3229 0.5000
0.6771 0.8229 0.5000
0.8774 0.6226 0.0000
0.3774 0.8774 0.0000
0.6226 0.1226 0.0000
0.1226 0.3774 0.0000
0.0000 0.0000 0.0000
0.5000 0.5000 0.0000

=====

Record 5
GGA-PBE Hg3P, relaxed; M_tot = 0.00 μB per formula unit; SG = Imm2 (44); formation energy = 1.15 eV/f.u.; raw total energy = -5.16 eV for the cell shown
1.0
5.6724 -0.0591 0.1005
0.5443 5.6465 -0.1005
-2.4306 -3.5478 3.7007
Hg P
3 1
Direct
0.7860 0.2500 0.5360
0.3900 0.4274 0.9626
0.0351 0.0726 0.9626
0.6221 0.7500 0.8721

=====

Record 6
GGA-PBE VGaCo2, relaxed; M_tot = 0.00 μB per formula unit; SG = I-42d (122); formation energy = 1.00 eV/f.u.; raw total energy = -50.72 eV for the cell shown
1.0
6.4103 0.0000 0.0000
0.0000 6.4103 0.0000
3.2052 3.2052 2.5748
Co V Ga
4 2 2
Direct
0.3750 0.4075 0.7500
0.1575 0.6250 0.2500
0.5925 0.1250 0.2500
0.8750 0.8425 0.7500
0.2500 0.7500 0.5000
0.5000 0.5000 0.0000
0.0000 0.0000 0.0000
0.7500 0.2500 0.5000

=====

Record 7
GGA-PBE K2PaSeO8, relaxed; M_tot = 3.00 μB per formula unit; SG = P-3m1 (164); formation energy without anion corrections = -1137 meV per atom; raw total energy = -68.49 eV for the cell shown
1.0
6.1677 0.0000 0.0000
-3.0839 5.3414 0.0000
0.0000 0.0000 5.8077
O Pa K Se
8 1 2 1
Direct
0.1349 0.8651 0.1987
0.1349 0.2698 0.1987
0.8651 0.7302 0.8013
0.7302 0.8651 0.1987
0.8651 0.1349 0.8013
0.2698 0.1349 0.8013
0.3333 0.6667 0.4934
0.6667 0.3333 0.5066
0.0000 0.0000 0.5000
0.3333 0.6667 0.9218
0.6667 0.3333 0.0782
0.0000 0.0000 0.0000

=====

Record 8
GGA-PBE NdTm2Hg4, relaxed; M_tot = 0.00 μB per formula unit; SG = Cmmm (65); formation energy = -2.58 eV/f.u.; raw total energy = -17.50 eV for the cell shown
1.0
-3.0258 -3.1246 -2.6854
4.5120 -4.5644 0.2269
-4.0491 -0.3524 4.9723
Tm Hg Nd
2 4 1
Direct
0.0000 0.2453 0.7547
0.0000 0.7547 0.2453
0.5000 0.0000 0.5000
0.0000 0.2226 0.2226
0.5000 0.5000 0.0000
0.0000 0.7774 0.7774
0.5000 0.5000 0.5000